Nb2CrI after structural relaxation. Source: the Alexandria database, functional PBE-GGA.

Output
Uncorrected formation energy: 0.82 eV/atom
VASP energy: -7.01 eV/atom
Total magnetic moment: 0.0 μB per formula unit
Energy relative to the lowest polymorph listed for this composition: 0 meV per atom

Cell lengths 6.581, 6.581, 6.581 Å; angles 90.00, 90.00, 90.00 degrees
Space group Fm-3m (No. 225)
Inequivalent atoms, fractional coordinates:
1 Nb 0.250 0.250 0.250 [8 per cell]
2 Cr 0.000 0.000 0.000 [4 per cell]
3 I 0.000 0.000 0.500 [4 per cell]

Pr2MgH6Ru after structural relaxation. Source: the Alexandria database, functional PBE-GGA.

Output
VASP energy: -4.42 eV/atom
Total magnetic moment: 0.0 μB per formula unit

Cell lengths 4.7841, 4.7841, 6.9039 Å; angles 90.00, 90.00, 120.00 degrees
Space group P-3m1 (No. 164)
Inequivalent atoms, fractional coordinates:
1 Pr 0.3333 0.6667 0.2849 [2 per cell]
2 Mg 0.0000 0.0000 0.0000 [1 per cell]
3 H 0.1715 0.3430 0.6411 [6 per cell]
4 Ru 0.0000 0.0000 0.5000 [1 per cell]

Tm2Fe3Ge4 after structural relaxation. Source: the Alexandria database, functional PBE-GGA.

Output
E_form: -0.420 eV per atom
VASP energy: -6.29 eV/atom
Total magnetic moment: 4.7 μB per formula unit
Energy relative to the lowest polymorph listed for this composition: 10 meV per atom

Cell lengths 5.227, 9.209, 12.273 Å; angles 90.00, 90.00, 90.00 degrees
Space group Fmmm (No. 69)
Inequivalent atoms, fractional coordinates:
1 Tm 0.000 0.000 0.135 [8 per cell]
2 Fe 0.000 0.000 0.500 [4 per cell]
3 Fe 0.250 0.250 0.000 [8 per cell]
4 Ge 0.000 0.167 0.342 [16 per cell]

AsPdF after structural relaxation. Source: the Alexandria database, functional PBE-GGA.

Output
Uncorrected formation energy: -0.73 eV/atom
VASP energy: -4.64 eV/atom
Total magnetic moment: 0.0 μB per formula unit

Cell lengths 3.961, 4.708, 5.458 Å; angles 83.96, 89.32, 86.65 degrees
Space group P1 (No. 1)
Inequivalent atoms, fractional coordinates:
1 As 0.000 0.000 0.000 [1 per cell]
2 As 0.304 0.013 0.605 [1 per cell]
3 Pd 0.039 0.368 0.262 [1 per cell]
4 Pd 0.534 0.685 0.991 [1 per cell]
5 F 0.000 0.700 0.513 [1 per cell]
6 F 0.540 0.337 0.698 [1 per cell]

Tb5NdDy2Er after structural relaxation. Source: the Alexandria database, functional PBE-GGA.

Output
E_form: 0.156 eV per atom
VASP energy: -4.48 eV/atom
Total magnetic moment: 0.0 μB per formula unit

Cell lengths 5.620, 19.857, 10.562 Å; angles 90.00, 90.00, 90.00 degrees
Space group Cmc2_1 (No. 36)
Inequivalent atoms, fractional coordinates:
1 Tb 0.000 0.018 0.000 [4 per cell]
2 Tb 0.000 0.281 0.290 [4 per cell]
3 Tb 0.000 0.298 0.685 [4 per cell]
4 Tb 0.000 0.386 0.999 [4 per cell]
5 Tb 0.000 0.479 0.715 [4 per cell]
6 Nd 0.000 0.415 0.430 [4 per cell]
7 Dy 0.000 0.112 0.712 [4 per cell]
8 Dy 0.000 0.114 0.295 [4 per cell]
9 Er 0.000 0.200 0.989 [4 per cell]

ScReAg2 after structural relaxation. Source: the Alexandria database, functional PBE-GGA.

Output
E_form: 0.298 eV per atom
VASP energy: -5.82 eV/atom
Total magnetic moment: 0.0 μB per formula unit
Energy relative to the lowest polymorph listed for this composition: 101 meV per atom

Cell lengths 4.014, 4.014, 4.302 Å; angles 90.00, 90.00, 90.00 degrees
Space group P4/mmm (No. 123)
Inequivalent atoms, fractional coordinates:
1 Sc 0.000 0.000 0.000 [1 per cell]
2 Re 0.500 0.500 0.000 [1 per cell]
3 Ag 0.000 0.500 0.500 [2 per cell]

TmNp2ScP4 after structural relaxation. Source: the Alexandria database, functional PBE-GGA.

Output
E_form: -1.173 eV per atom
VASP energy: -8.46 eV/atom
Total magnetic moment: 0.1 μB per formula unit

Cell lengths 6.758, 3.893, 6.768 Å; angles 90.00, 109.44, 90.00 degrees
Space group P2/m (No. 10)
Inequivalent atoms, fractional coordinates:
1 Tm 0.000 0.000 0.000 [1 per cell]
2 Np 0.500 0.000 0.500 [1 per cell]
3 Np 0.500 0.500 0.000 [1 per cell]
4 Sc 0.000 0.500 0.500 [1 per cell]
5 P 0.244 0.000 0.743 [2 per cell]
6 P 0.247 0.500 0.255 [2 per cell]

Er5Mg2Pb4 after structural relaxation. Source: the Alexandria database, functional PBE-GGA.

Output
E_form: -0.154 eV per atom
VASP energy: -3.87 eV/atom
Total magnetic moment: 0.0 μB per formula unit

Cell lengths 3.547, 9.021, 19.911 Å; angles 90.00, 90.00, 90.00 degrees
Space group Immm (No. 71)
Inequivalent atoms, fractional coordinates:
1 Er 0.000 0.000 0.000 [2 per cell]
2 Er 0.000 0.292 0.346 [8 per cell]
3 Mg 0.000 0.500 0.080 [4 per cell]
4 Pb 0.000 0.212 0.500 [4 per cell]
5 Pb 0.000 0.500 0.221 [4 per cell]